Compound: NaCdGa
Source: Alexandria via LeMat-Bulk
Functional: PBE-GGA
Structure: optimized geometry

Properties
* total moment: 0.00 μB per cell
* E_form: -28 meV/atom
* polymorph energy (0 for the lowest one): 0.0629 eV per atom
* D(E_F): 0.78 states/eV per cell

Cell lengths 3.6615, 3.6615, 5.8820 Å; angles 108.13, 108.13, 90.00 degrees
Closest atoms and distances in Å follow each position.
Sites, in units of the cell vectors:
Na: 0.0031 0.0031 0.0061  5 Ga 3.23-3.35, 5 Cd 3.25-3.29
Ga: 0.6861 0.6861 0.3722  4 Cd 2.91, 4 Na 3.23
Cd: 0.3108 0.3108 0.6217  4 Ga 2.91, 1 Na 3.25



Compound: TbGd2Sn
Source: Alexandria via LeMat-Bulk
Functional: PBE-GGA
Structure: optimized geometry

Properties
* total moment: 16.27 μB per cell
* E_form: -37 meV/atom
* polymorph energy (0 for the lowest one): 0.4078 eV per atom
* D(E_F): 4.56 states/eV per cell

Cell lengths 3.4749, 3.4749, 12.0482 Å; angles 81.71, 81.71, 60.00 degrees
Closest atoms and distances in Å follow each position.
Sites, in units of the cell vectors:
Gd: 0.0943 0.0943 0.7171  3 Sn 3.27, 1 Tb 3.36, 6 Gd 3.47
Gd: 0.9057 0.9057 0.2829  3 Sn 3.27, 1 Tb 3.36, 6 Gd 3.47
Tb: 0.0000 0.0000 0.0000  2 Gd 3.36, 6 Tb 3.47
Sn: 0.5000 0.5000 0.5000  6 Gd 3.27, 6 Sn 3.47



Compound: ZrMn2Cd
Source: Alexandria via LeMat-Bulk
Functional: PBE-GGA
Structure: optimized geometry

Properties
* total moment: 5.35 μB per cell
* E_form: 155 meV/atom
* D(E_F): 2.50 states/eV per cell

Cell lengths 5.2127, 5.2127, 5.2127 Å; angles 135.06, 135.06, 65.44 degrees
Closest atoms and distances in Å follow each position.
Sites, in units of the cell vectors:
Cd: 0.7500 0.2500 0.5000  8 Mn 2.82-2.96, 4 Zr 2.96
Mn: 0.0000 0.0000 0.0000  4 Zr 2.82, 4 Mn 2.96, 4 Cd 2.96
Mn: 0.2500 0.7500 0.5000  4 Cd 2.82, 4 Zr 2.96, 4 Mn 2.96
Zr: 0.5000 0.5000 0.0000  8 Mn 2.82-2.96, 4 Cd 2.96



Compound: NpCuGe
Source: Alexandria via LeMat-Bulk
Functional: PBE-GGA
Structure: optimized geometry

Properties
* total moment: 4.33 μB per cell
* E_form: -75 meV/atom
* D(E_F): 6.18 states/eV per cell

Cell lengths 3.1014, 4.5194, 4.5194 Å; angles 120.00, 90.00, 90.00 degrees
Closest atoms and distances in Å follow each position.
Sites, in units of the cell vectors:
Np: 0.6669 0.3333 0.6667  6 Cu 3.03-3.04, 6 Ge 3.04, 2 Np 3.10
Ge: 0.1668 0.0000 0.0000  3 Cu 2.61
Cu: 0.1663 0.6667 0.3333  3 Ge 2.61



What is the E_form in the second record? -37 meV/atom



Please write out number 2 again, unchanged.
Compound: TbGd2Sn
Source: Alexandria via LeMat-Bulk
Functional: PBE-GGA
Structure: optimized geometry

Properties
* total moment: 16.27 μB per cell
* E_form: -37 meV/atom
* polymorph energy (0 for the lowest one): 0.4078 eV per atom
* D(E_F): 4.56 states/eV per cell

Cell lengths 3.4749, 3.4749, 12.0482 Å; angles 81.71, 81.71, 60.00 degrees
Closest atoms and distances in Å follow each position.
Sites, in units of the cell vectors:
Gd: 0.0943 0.0943 0.7171  3 Sn 3.27, 1 Tb 3.36, 6 Gd 3.47
Gd: 0.9057 0.9057 0.2829  3 Sn 3.27, 1 Tb 3.36, 6 Gd 3.47
Tb: 0.0000 0.0000 0.0000  2 Gd 3.36, 6 Tb 3.47
Sn: 0.5000 0.5000 0.5000  6 Gd 3.27, 6 Sn 3.47